12
Lattice="-3.828 -3.554 -0.846 2.452 0.183 4.686 -8.817 8.477 4.283" Properties=species:S:1:pos:R:3 comment="Nd3GaAg2 | Alexandria | PBE-GGA | relaxed" magmom_total_mub_per_fu=0.41 density_g_cm3=7.59 e_form_mev_per_atom=-356 energy_ev_per_atom=-4.1945 pbc="T T T"
Nd -3.323 2.477 4.630
Nd -2.490 -1.582 1.365
Nd -6.592 6.338 3.202
Nd -2.225 2.139 1.081
Nd -7.703 6.688 6.758
Nd -6.870 2.628 3.492
Ga -5.519 4.587 5.697
Ga -4.675 0.518 2.426
Ag -4.409 4.238 2.141
Ag -1.122 0.361 3.561
Ag -9.071 4.745 4.562
Ag 0.000 0.000 0.000